Nd4NiPt | PBE | relaxed

## Properties
- calculated total energy (eV/atom) = -5.5756

a b c (Å): 7.028 7.143 7.021
angles (deg): 90.00 92.51 90.00
Element x y z (fractional)
Nd 0.318 0.331 0.332
Pt 0.000 0.000 0.000
Nd 0.354 0.837 0.174
Nd 0.646 0.163 0.826
Ni 0.000 0.500 0.500
Nd 0.146 0.337 0.826
Nd 0.854 0.663 0.174
Ni 0.500 0.000 0.500
Pt 0.500 0.500 0.000
Nd 0.818 0.169 0.332
Nd 0.182 0.831 0.668
Nd 0.682 0.669 0.668